The following is a GGA-PBE calculation of Hg2RuPt after structural relaxation, from Alexandria.

Cell lengths 7.563, 7.563, 5.581 Å; angles 90.00, 90.00, 90.00 degrees
Space group I-42d (No. 122)
Asymmetric unit:
Hg (0.250, 0.250, 0.125) x8
Ru (0.000, 0.000, 0.000) x4
Pt (0.000, 0.000, 0.500) x4

DOS(E_F)   14.9 states/eV/cell
Volume   319 Å³ per cell
Calculated total energy   -3.287 eV/atom